DFT (PBE) results for a relaxed structure of Sc2Be5Co2Ni.

Calculated values
Total moment: 0.0 Bohr magnetons per cell
Energy of formation from the pure elements: -158 meV/atom
D(E_F): 7.05 states/eV/f.u.
Raw total energy: -5.2865 eV/atom

```
data_Sc2Be5Co2Ni
_cell_length_a 9.0960
_cell_length_b 9.0960
_cell_length_c 2.7719
_cell_angle_alpha 90.00
_cell_angle_beta 90.00
_cell_angle_gamma 90.00
_space_group_name_H-M_alt 'P 4/m b m'
_space_group_IT_number 127
_space_group_name_Hall '-P 4 2ab'
loop_
_atom_site_label
_atom_site_fract_x
_atom_site_fract_y
_atom_site_fract_z
Sc1 0.1825 0.3175 0.0000
Be1 0.0000 0.5000 0.5000
Be2 0.0508 0.8118 0.5000
Co1 0.1254 0.6254 0.0000
Ni1 0.0000 0.0000 0.0000
```

DFT (PBE) results for a relaxed structure of Sm2Be3CoNi12.

Calculated values
Total moment: 9.6 Bohr magnetons per cell
Energy of formation from the pure elements: 283 meV/atom
D(E_F): 14.32 states/eV/f.u.
Raw total energy: -5.1110 eV/atom

```
data_Sm2Be3CoNi12
_cell_length_a 7.3065
_cell_length_b 7.3065
_cell_length_c 16.6883
_cell_angle_alpha 90.00
_cell_angle_beta 90.00
_cell_angle_gamma 120.00
_space_group_name_H-M_alt 'R -3 m'
_space_group_IT_number 166
_space_group_name_Hall '-R 3 2"'
loop_
_atom_site_label
_atom_site_fract_x
_atom_site_fract_y
_atom_site_fract_z
Sm1 0.0000 0.0000 0.1087
Be1 0.0000 0.5000 0.0000
Co1 0.0000 0.0000 0.5000
Ni1 0.0041 0.5020 0.8766
Ni2 0.0424 0.5212 0.3660
```

> The highest energy of formation from the pure elements belongs to which entry?

Sm2Be3CoNi12

> Among the records above, which one has the highest D(E_F)?

Sm2Be3CoNi12

> Which of these has the lowest total moment?

Sc2Be5Co2Ni

> Among the records above, which one has the highest D(E_F)?

Sm2Be3CoNi12